(1)
The following is a PBE calculation of a relaxed structure of TmSbPt, from Alexandria.

Unit cell a=5.225 b=5.225 c=5.225 alpha=136.09 beta=136.09 gamma=63.84
Fractional coordinates of all 3 atoms:
1 Tm 0.000 0.000 0.000
2 Sb 0.671 0.671 0.000
3 Pt 0.358 0.358 0.000

Calculated values
Uncorrected formation energy = -0.70 eV per atom
Crystal system = tetragonal

---

(2)
The following is a PBE calculation of a relaxed structure of Tm5Al2Hg, from Alexandria.

Unit cell a=9.036 b=9.036 c=9.036 alpha=130.46 beta=130.46 gamma=72.67
Fractional coordinates of all 16 atoms:
1 Tm 0.000 0.000 0.000
2 Tm 0.021 0.521 0.838
3 Tm 0.183 0.021 0.500
4 Tm 0.317 0.817 0.838
5 Tm 0.479 0.317 0.500
6 Tm 0.500 0.500 0.000
7 Tm 0.521 0.683 0.500
8 Tm 0.683 0.183 0.162
9 Tm 0.817 0.979 0.500
10 Tm 0.979 0.479 0.162
11 Al 0.123 0.377 0.500
12 Al 0.377 0.877 0.255
13 Al 0.623 0.123 0.745
14 Al 0.877 0.623 0.500
15 Hg 0.250 0.250 0.000
16 Hg 0.750 0.750 0.000

Calculated values
Calculated formation energy = -0.32 eV/atom
Crystal system = tetragonal

---

(3)
The following is a PBE calculation of a relaxed structure of Ac8Hg2Ru, from Alexandria.

Unit cell a=10.728 b=10.728 c=8.188 alpha=91.50 beta=91.50 gamma=26.80
Fractional coordinates of all 11 atoms:
1 Ac 0.004 0.004 0.277
2 Ac 0.224 0.224 0.814
3 Ac 0.364 0.364 0.498
4 Ac 0.404 0.404 0.006
5 Ac 0.596 0.596 0.994
6 Ac 0.636 0.636 0.502
7 Ac 0.776 0.776 0.186
8 Ac 0.996 0.996 0.723
9 Hg 0.171 0.171 0.232
10 Hg 0.829 0.829 0.768
11 Ru 0.500 0.500 0.500

Calculated values
Calculated formation energy = -0.18 eV/atom
Crystal system = monoclinic

---

(4)
The following is a PBE calculation of a relaxed structure of MnSbHPd2, from Alexandria.

Unit cell a=4.057 b=4.057 c=4.204 alpha=90.00 beta=90.00 gamma=90.00
Fractional coordinates of all 5 atoms:
1 Mn 0.000 0.000 0.000
2 Sb 0.500 0.500 0.000
3 H 0.000 0.000 0.500
4 Pd 0.000 0.500 0.500
5 Pd 0.500 0.000 0.500

Calculated values
VASP energy = -27.904 eV/cell
Crystal system = tetragonal

---

no.,size of the total moment (μB per atom)
1,0.000
2,0.000
3,0.000
4,0.727